Entry 1:
Material: CaFeRu2
Method: DFT, PBE
State: relaxed

a b c (Å): 4.9530 4.9530 5.1506
angles (deg): 75.69 75.69 35.04
Last column: nearest neighbours and their distance in Å.
Fractional positions:
1 Ru 0.9965 0.9965 0.9792  2 Fe 2.53, 3 Ru 2.57-2.80
2 Ru 0.7262 0.7262 0.8496  2 Fe 2.42, 2 Ru 2.57
3 Fe 0.2792 0.2792 0.1820  4 Ru 2.42-2.53
4 Ca 0.4981 0.4981 0.4892  3 Fe 2.91-3.10, 7 Ru 2.93-3.19, 2 Ca 2.98

## Properties
**Formation energy from the elements**: 9.59 kcal/mol of atoms
**Symmetry**: Cm (8)

Entry 2:
Material: K2ZrTiCr
Method: DFT, PBE
State: relaxed

a b c (Å): 6.3309 4.2246 6.3309
angles (deg): 90.00 90.00 90.00
Last column: nearest neighbours and their distance in Å.
Fractional positions:
1 Cr 0.0000 0.5000 0.0000  2 Ti 2.11
2 Ti 0.0000 0.0000 0.0000  2 Cr 2.11
3 Zr 0.5000 0.5000 0.5000  8 K 3.81, 2 Zr 4.22
4 K 0.5000 0.0000 0.0000  2 Ti 3.17
5 K 0.0000 0.0000 0.5000  2 Ti 3.17

## Properties
**Formation energy from the elements**: 40.32 kcal/mol of atoms
**Symmetry**: P4/mmm (123)

Entry 3:
Material: Nd2VReN5
Method: DFT, PBE
State: relaxed

a b c (Å): 3.4120 7.1191 9.8460
angles (deg): 90.00 90.00 103.87
Last column: nearest neighbours and their distance in Å.
Fractional positions:
1 N 0.3143 0.6286 0.3769  1 V 1.94
2 Re 0.7912 0.5823 0.5177  3 N 1.90-2.09
3 N 0.2979 0.5959 0.6392  2 Re 2.09
4 N 0.6857 0.3714 0.8769  1 V 1.94
5 N 0.9548 0.9095 0.5384  2 V 1.90
6 Nd 0.1336 0.2672 0.3061  7 N 2.53-2.64
7 Nd 0.8794 0.7587 0.1872  8 N 2.49-2.72
8 Nd 0.8664 0.7328 0.8061  7 N 2.53-2.64
9 N 0.5013 0.0027 0.7950  1 V 1.75
10 V 0.5570 0.1140 0.9550  4 N 1.75-1.94
11 N 0.3462 0.6925 0.0083  1 Re 1.90
12 N 0.7021 0.4041 0.1392  2 Re 2.09
13 N 0.4987 0.9973 0.2950  1 V 1.75
14 N 0.0452 0.0905 0.0384  2 V 1.90
15 Re 0.2088 0.4177 0.0177  3 N 1.90-2.09
16 Nd 0.1206 0.2413 0.6872  8 N 2.49-2.72
17 N 0.6538 0.3075 0.5083  1 Re 1.90
18 V 0.4430 0.8860 0.4550  4 N 1.75-1.94

## Properties
**Symmetry**: Cmc2_1 (36)
**Uncorrected energy**: -8.9617 eV/atom

Entry 4:
Material: TbNdEr2
Method: DFT, PBE
State: relaxed

a b c (Å): 3.5658 3.5658 10.0676
angles (deg): 90.00 90.00 90.00
Last column: nearest neighbours and their distance in Å.
Fractional positions:
1 Er 0.0000 0.0000 0.7541  4 Tb 3.53, 4 Er 3.57, 4 Nd 3.59
2 Nd 0.5000 0.5000 0.5000  4 Nd 3.57, 8 Er 3.59
3 Er 0.0000 0.0000 0.2459  4 Tb 3.53, 4 Er 3.57, 4 Nd 3.59
4 Tb 0.5000 0.5000 0.0000  8 Er 3.53, 4 Tb 3.57

## Properties
**Formation energy from the elements**: 0.53 kcal/mol of atoms
**Symmetry**: P4/mmm (123)

Entry 5:
Material: AgSe2Cl
Method: DFT, PBE
State: relaxed

a b c (Å): 4.1329 4.8264 6.1743
angles (deg): 55.67 90.00 90.00
Last column: nearest neighbours and their distance in Å.
Fractional positions:
1 Se 0.0000 0.4668 0.3987  1 Se 2.28
2 Cl 0.5000 0.7500 0.7500  2 Ag 2.64
3 Ag 0.5000 0.2500 0.2500  2 Cl 2.64, 4 Se 2.70
4 Se 0.0000 0.0332 0.1013  1 Se 2.28

## Properties
**Symmetry**: P2/m (10)
**Uncorrected energy**: -3.0338 eV/atom

Entry 6:
Material: HoEr2Sc
Method: DFT, PBE
State: relaxed

a b c (Å): 5.5008 5.5008 5.5008
angles (deg): 60.00 60.00 60.00
Last column: nearest neighbours and their distance in Å.
Fractional positions:
1 Ho 0.0000 0.0000 0.0000  8 Er 3.37
2 Er 0.2500 0.2500 0.2500  4 Sc 3.37, 4 Ho 3.37
3 Sc 0.5000 0.5000 0.5000  8 Er 3.37
4 Er 0.7500 0.7500 0.7500  4 Sc 3.37, 4 Ho 3.37

## Properties
**Formation energy from the elements**: 3.20 kcal/mol of atoms
**Symmetry**: Fm-3m (225)

Entry 7:
Material: Ho5Tm4Co2
Method: DFT, PBE
State: relaxed

a b c (Å): 3.5071 8.7105 9.7422
angles (deg): 93.36 90.00 90.00
Last column: nearest neighbours and their distance in Å.
Fractional positions:
1 Tm 0.5000 0.8160 0.5331  4 Co 2.79-2.83
2 Co 0.0000 0.0383 0.6464  1 Ho 2.68, 6 Tm 2.71-2.83, 1 Co 2.89
3 Tm 0.5000 0.1840 0.4669  4 Co 2.79-2.83
4 Ho 0.0000 0.5210 0.3344  5 Ho 3.25-3.63, 4 Tm 3.52-3.58
5 Tm 0.5000 0.8149 0.1794  2 Co 2.71
6 Co 0.0000 0.9617 0.3536  1 Ho 2.68, 6 Tm 2.71-2.83, 1 Co 2.89
7 Ho 0.0000 0.4790 0.6656  5 Ho 3.25-3.63, 4 Tm 3.52-3.58
8 Tm 0.5000 0.1851 0.8206  2 Co 2.71
9 Ho 0.0000 0.5000 0.0000  6 Ho 3.25-3.51, 4 Tm 3.62
10 Ho 0.0000 0.8505 0.8548  1 Co 2.68
11 Ho 0.0000 0.1495 0.1452  1 Co 2.68

## Properties
**Formation energy from the elements**: -0.28 kcal/mol of atoms
**Symmetry**: P2/m (10)

Entry 8:
Material: La2Ga2Co
Method: DFT, PBE
State: relaxed

a b c (Å): 3.7214 6.2156 10.8963
angles (deg): 84.99 80.17 72.58
Last column: nearest neighbours and their distance in Å.
Fractional positions:
1 La 0.2752 0.8066 0.6431  2 Co 2.91, 2 Ga 3.25
2 La 0.7248 0.1934 0.3569  2 Co 2.91, 2 Ga 3.25
3 Co 0.5665 0.1638 0.7032  3 Ga 2.46-2.56
4 Ga 0.6182 0.8764 0.8872  1 Co 2.56
5 Ga 0.9719 0.6472 0.4089  2 Co 2.46, 1 Ga 2.57
6 La 0.0958 0.6886 0.1198  2 Co 2.82, 1 Ga 3.10
7 Ga 0.3818 0.1236 0.1128  1 Co 2.56
8 La 0.9042 0.3114 0.8802  2 Co 2.82, 1 Ga 3.10
9 Co 0.4335 0.8362 0.2968  3 Ga 2.46-2.56
10 Ga 0.0281 0.3528 0.5911  2 Co 2.46, 1 Ga 2.57

## Properties
**Formation energy from the elements**: -10.97 kcal/mol of atoms
**Symmetry**: C2/m (12)

Repeat the sixth record exactly.
Material: HoEr2Sc
Method: DFT, PBE
State: relaxed

a b c (Å): 5.5008 5.5008 5.5008
angles (deg): 60.00 60.00 60.00
Last column: nearest neighbours and their distance in Å.
Fractional positions:
1 Ho 0.0000 0.0000 0.0000  8 Er 3.37
2 Er 0.2500 0.2500 0.2500  4 Sc 3.37, 4 Ho 3.37
3 Sc 0.5000 0.5000 0.5000  8 Er 3.37
4 Er 0.7500 0.7500 0.7500  4 Sc 3.37, 4 Ho 3.37

## Properties
**Formation energy from the elements**: 3.20 kcal/mol of atoms
**Symmetry**: Fm-3m (225)